No. 1
DFT (PBE) results for a relaxed structure of La2ScMnSe6.

The structure in POSCAR format:
```
La2ScMnSe6
1.0
6.728 0.000 -0.057
0.000 7.620 0.000
-0.017 0.000 9.787
Se Sc Mn La
12 2 2 4
Direct
0.681 0.324 0.948
0.175 0.181 0.056
0.880 0.522 0.240
0.325 0.681 0.444
0.319 0.676 0.052
0.120 0.478 0.760
0.181 0.176 0.448
0.380 0.978 0.740
0.675 0.319 0.556
0.825 0.819 0.944
0.620 0.022 0.260
0.819 0.824 0.552
0.000 0.500 0.500
0.500 0.000 0.000
0.000 0.500 0.000
0.500 0.000 0.500
0.955 0.111 0.753
0.545 0.611 0.747
0.045 0.889 0.247
0.455 0.389 0.253
```

Results
Spin magnetization (μB/f.u.): 4.0
DOS(E_F) (states/eV/cell): 3.345
Uncorrected formation energy (kJ/mol of formula units): -1490
Crystal system: monoclinic


No. 2
DFT (PBE) results for a relaxed structure of YHo8Er3.

The structure in POSCAR format:
```
YHo8Er3
1.0
6.642 0.002 -3.757
-2.123 6.294 -3.757
0.843 1.174 9.239
Er Y Ho
3 1 8
Direct
0.250 0.750 0.500
0.750 0.250 0.500
0.500 0.500 0.000
0.000 0.000 0.000
0.377 0.874 0.252
0.126 0.126 0.749
0.874 0.874 0.251
0.377 0.377 0.251
0.623 0.126 0.748
0.874 0.377 0.252
0.126 0.623 0.748
0.623 0.623 0.749
```

Results
Spin magnetization (μB/f.u.): 0.0
Formation enthalpy at 0 K (eV/atom): 0.732
DOS(E_F) (states/eV/cell): 11.976
Crystal system: tetragonal


No. 3
DFT (PBE) results for a relaxed structure of KAgHgBr2.

The structure in POSCAR format:
```
KAgHgBr2
1.0
-1.297 -4.571 -3.052
4.358 1.055 -3.432
3.253 -3.054 3.192
Hg K Ag Br
1 1 1 2
Direct
0.000 0.000 0.500
0.500 0.500 0.500
0.000 0.000 0.000
0.500 0.000 0.000
0.000 0.500 0.000
```

Results
Spin magnetization (μB/f.u.): 0.0
DOS(E_F) (states/eV/cell): 0.348
Uncorrected formation energy (kJ/mol of formula units): -346
Crystal system: tetragonal


No. 4
DFT (PBE) results for a relaxed structure of PuMgAs2.

The structure in POSCAR format:
```
PuMgAs2
1.0
4.091 0.000 0.000
0.000 4.091 0.000
0.000 0.000 10.286
Mg As Pu
2 4 2
Direct
0.000 0.000 0.000
0.500 0.500 0.000
0.500 0.500 0.500
0.000 0.500 0.824
0.500 0.000 0.176
0.000 0.000 0.500
0.000 0.500 0.286
0.500 0.000 0.714
```

Results
Spin magnetization (μB/f.u.): 5.6
Formation enthalpy at 0 K (eV/atom): -0.677
Distance to the lowest polymorph of the same formula (eV per atom): 0.0179
DOS(E_F) (states/eV/cell): 18.999
Crystal system: tetragonal


No. 5
DFT (PBE) results for a relaxed structure of Ac6NdPb6.

The structure in POSCAR format:
```
Ac6NdPb6
1.0
8.138 -0.004 0.000
-4.071 7.047 0.000
0.000 0.000 9.623
Ac Pb Nd
6 6 1
Direct
0.500 0.500 0.746
0.500 0.000 0.746
0.500 0.000 0.254
0.000 0.500 0.254
0.000 0.500 0.746
0.500 0.500 0.254
0.000 0.000 0.666
0.666 0.334 0.000
0.333 0.667 0.500
0.667 0.333 0.500
0.334 0.666 0.000
0.000 0.000 0.334
0.000 0.000 0.000
```

Results
Spin magnetization (μB/f.u.): 0.0
Formation enthalpy at 0 K (eV/atom): -0.230
DOS(E_F) (states/eV/cell): 14.891
Crystal system: hexagonal


No. 6
DFT (PBE) results for a relaxed structure of NaTm4S5.

The structure in POSCAR format:
```
NaTm4S5
1.0
3.798 0.000 -0.733
-0.280 5.233 -1.453
0.015 0.030 10.286
S Tm Na
5 4 1
Direct
0.605 0.105 0.210
0.000 0.500 0.000
0.198 0.698 0.397
0.395 0.895 0.790
0.802 0.302 0.603
0.601 0.601 0.202
0.204 0.204 0.409
0.399 0.399 0.798
0.796 0.796 0.591
0.000 0.000 0.000
```

Results
Spin magnetization (μB/f.u.): 0.0
DOS(E_F) (states/eV/cell): 2.295
Uncorrected formation energy (kJ/mol of formula units): -1833
Crystal system: orthorhombic


No. 7
DFT (PBE) results for a relaxed structure of ZnTc2Br.

The structure in POSCAR format:
```
ZnTc2Br
1.0
3.057 0.000 0.000
0.000 4.448 0.000
0.000 0.000 4.448
Zn Tc Br
1 2 1
Direct
0.500 0.500 0.000
0.000 0.500 0.500
0.000 0.000 0.000
0.500 0.000 0.500
```

Results
Spin magnetization (μB/f.u.): 0.0
Distance to the lowest polymorph of the same formula (eV per atom): 0.6559
DOS(E_F) (states/eV/cell): 4.630
Uncorrected formation energy (kJ/mol of formula units): 311
Crystal system: tetragonal


No. 8
DFT (PBE) results for a relaxed structure of Tb3Pm2Pr.

The structure in POSCAR format:
```
Tb3Pm2Pr
1.0
6.441 0.000 0.000
0.000 7.489 3.317
0.000 -0.778 8.154
Tb Pm Pr
6 4 2
Direct
0.815 0.083 0.083
0.607 0.490 0.124
0.315 0.917 0.917
0.107 0.876 0.510
0.107 0.510 0.876
0.607 0.124 0.490
0.069 0.621 0.260
0.069 0.260 0.621
0.569 0.379 0.740
0.569 0.740 0.379
0.790 0.825 0.825
0.290 0.175 0.175
```

Results
Spin magnetization (μB/f.u.): 0.0
Formation enthalpy at 0 K (eV/atom): 0.210
Distance to the lowest polymorph of the same formula (eV per atom): 0.0910
DOS(E_F) (states/eV/cell): 18.628
Crystal system: orthorhombic


No. 9
DFT (PBE) results for a relaxed structure of SiO.

The structure in POSCAR format:
```
SiO
1.0
2.650 0.000 0.000
0.000 3.124 0.046
0.000 -0.101 6.762
Si O
2 2
Direct
0.250 0.250 0.369
0.750 0.750 0.631
0.750 0.250 0.216
0.250 0.750 0.784
```

Results
Spin magnetization (μB/f.u.): 0.0
DOS(E_F) (states/eV/cell): 0.626
Uncorrected formation energy (kJ/mol of formula units): -265
Crystal system: orthorhombic


No. 10
DFT (PBE) results for a relaxed structure of Y2CuRh3.

The structure in POSCAR format:
```
Y2CuRh3
1.0
-2.411 2.650 -4.110
3.599 -3.958 -1.049
-2.651 -3.225 3.090
Rh Y Cu
3 2 1
Direct
0.000 0.000 0.500
0.500 0.500 0.500
0.500 0.000 0.500
0.255 0.628 0.883
0.745 0.372 0.117
0.000 0.000 0.000
```

Results
Spin magnetization (μB/f.u.): 0.0
Formation enthalpy at 0 K (eV/atom): -0.636
DOS(E_F) (states/eV/cell): 4.926
Crystal system: trigonal


No. 11
DFT (PBE) results for a relaxed structure of Mg2In5Pd5.

The structure in POSCAR format:
```
Mg2In5Pd5
1.0
4.517 0.008 0.828
2.189 3.951 0.828
-0.094 -0.056 13.129
In Pd Mg
5 5 2
Direct
0.500 0.500 0.500
0.782 0.782 0.656
0.695 0.695 0.914
0.218 0.218 0.344
0.305 0.305 0.086
0.623 0.623 0.131
0.000 0.000 0.000
0.856 0.856 0.431
0.377 0.377 0.869
0.144 0.144 0.569
0.927 0.927 0.219
0.073 0.073 0.781
```

Results
Spin magnetization (μB/f.u.): 0.0
Formation enthalpy at 0 K (eV/atom): -0.452
DOS(E_F) (states/eV/cell): 4.415
Crystal system: monoclinic


No. 12
DFT (PBE) results for a relaxed structure of Tb2Pm7.

The structure in POSCAR format:
```
Tb2Pm7
1.0
-3.115 -5.427 -0.654
5.124 0.268 3.641
-5.072 2.070 6.985
Pm Tb
7 2
Direct
0.000 0.000 0.000
0.334 0.334 0.332
0.666 0.000 0.332
0.334 0.000 0.668
0.666 0.666 0.668
0.000 0.334 0.668
0.000 0.666 0.332
0.333 0.667 0.000
0.667 0.333 0.000
```

Results
Spin magnetization (μB/f.u.): 0.0
Formation enthalpy at 0 K (eV/atom): 0.014
Distance to the lowest polymorph of the same formula (eV per atom): 0.0000
DOS(E_F) (states/eV/cell): 11.567
Crystal system: trigonal


No. 13
DFT (PBE) results for a relaxed structure of ZrAsRh2.

The structure in POSCAR format:
```
ZrAsRh2
1.0
-0.017 -3.118 -1.197
3.532 0.399 -1.089
1.693 -1.856 4.812
Zr As Rh
1 1 2
Direct
0.000 0.000 0.470
0.500 0.500 0.802
0.000 0.000 0.959
0.500 0.500 0.268
```

Results
Spin magnetization (μB/f.u.): 0.0
Formation enthalpy at 0 K (eV/atom): -0.535
DOS(E_F) (states/eV/cell): 2.852
Crystal system: orthorhombic


No. 14
DFT (PBE) results for a relaxed structure of KCuSe.

The structure in POSCAR format:
```
KCuSe
1.0
-1.162 -2.547 -5.076
4.113 -0.936 -0.454
-0.957 -5.694 3.077
Se Cu K
2 2 2
Direct
0.872 0.068 0.212
0.372 0.568 0.876
0.532 0.069 0.980
0.032 0.569 0.108
0.993 0.065 0.709
0.493 0.565 0.379
```

Results
Spin magnetization (μB/f.u.): 0.0
DOS(E_F) (states/eV/cell): 0.261
Uncorrected formation energy (kJ/mol of formula units): -176
Crystal system: monoclinic


No. 15
DFT (PBE) results for a relaxed structure of KScCr2W.

The structure in POSCAR format:
```
KScCr2W
1.0
4.902 0.000 0.000
0.000 5.232 0.000
0.000 0.000 4.902
Cr K W Sc
2 1 1 1
Direct
0.000 0.000 0.500
0.500 0.000 0.000
0.500 0.500 0.500
0.000 0.000 0.000
0.000 0.500 0.000
```

Results
Spin magnetization (μB/f.u.): 5.4
Formation enthalpy at 0 K (eV/atom): 1.151
DOS(E_F) (states/eV/cell): 3.576
Crystal system: tetragonal


No. 16
DFT (PBE) results for a relaxed structure of NaY2Te4Pb.

The structure in POSCAR format:
```
NaY2Te4Pb
1.0
4.414 0.000 0.000
0.000 7.646 0.174
0.000 -2.686 7.568
Te Y Na Pb
4 2 1 1
Direct
0.000 0.245 0.735
0.500 0.257 0.263
0.500 0.743 0.737
0.000 0.755 0.265
0.500 0.000 0.500
0.000 0.500 0.500
0.500 0.500 0.000
0.000 0.000 0.000
```

Results
Spin magnetization (μB/f.u.): 0.0
DOS(E_F) (states/eV/cell): 3.620
Uncorrected formation energy (kJ/mol of formula units): -819
Crystal system: monoclinic


No. 17
DFT (PBE) results for a relaxed structure of LiCr2Ru2.

The structure in POSCAR format:
```
LiCr2Ru2
1.0
7.234 0.000 0.000
0.000 7.234 0.000
0.000 0.000 2.668
Li Ru Cr
2 4 4
Direct
0.000 0.000 0.000
0.500 0.500 0.000
0.652 0.848 0.500
0.848 0.348 0.500
0.348 0.152 0.500
0.152 0.652 0.500
0.642 0.142 0.000
0.142 0.358 0.000
0.358 0.858 0.000
0.858 0.642 0.000
```

Results
Spin magnetization (μB/f.u.): 0.0
Formation enthalpy at 0 K (eV/atom): 0.200
Distance to the lowest polymorph of the same formula (eV per atom): 0.0000
DOS(E_F) (states/eV/cell): 8.566
Crystal system: tetragonal


No. 18
DFT (PBE) results for a relaxed structure of LiTc2H.

The structure in POSCAR format:
```
LiTc2H
1.0
-0.985 2.282 -4.302
-4.703 -1.584 0.237
-4.020 4.186 0.272
H Li Tc
2 2 4
Direct
0.500 0.500 0.000
0.250 0.750 0.500
0.000 0.000 0.000
0.750 0.250 0.500
0.875 0.656 0.750
0.375 0.594 0.750
0.406 0.125 0.250
0.344 0.625 0.250
```

Results
Spin magnetization (μB/f.u.): 0.0
Distance to the lowest polymorph of the same formula (eV per atom): 0.0000
DOS(E_F) (states/eV/cell): 8.790
Crystal system: tetragonal


No. 19
DFT (PBE) results for a relaxed structure of Ti2AlNiPt5.

The structure in POSCAR format:
```
Ti2AlNiPt5
1.0
7.401 0.000 0.000
0.000 7.401 0.000
-3.700 -3.700 5.310
Pt Ti Ni Al
10 4 2 2
Direct
0.933 0.433 0.266
0.433 0.333 0.266
0.667 0.167 0.734
0.067 0.567 0.734
0.333 0.833 0.266
0.500 0.500 0.000
0.567 0.667 0.734
0.167 0.067 0.734
0.833 0.933 0.266
0.000 0.000 0.000
0.386 0.886 0.000
0.114 0.386 0.000
0.614 0.114 0.000
0.886 0.614 0.000
0.250 0.750 0.500
0.750 0.250 0.500
0.250 0.250 0.500
0.750 0.750 0.500
```

Results
Spin magnetization (μB/f.u.): 0.0
Formation enthalpy at 0 K (eV/atom): -0.347
DOS(E_F) (states/eV/cell): 14.376
Crystal system: tetragonal


No. 20
DFT (PBE) results for a relaxed structure of RbLa2YHf.

The structure in POSCAR format:
```
RbLa2YHf
1.0
-1.529 4.006 3.588
-5.013 -2.180 0.298
1.647 -3.202 4.277
La Y Rb Hf
2 1 1 1
Direct
0.000 0.000 0.500
0.500 0.000 0.000
0.000 0.500 0.000
0.000 0.000 0.000
0.500 0.500 0.500
```

Results
Spin magnetization (μB/f.u.): 0.0
Formation enthalpy at 0 K (eV/atom): 1.414
DOS(E_F) (states/eV/cell): 7.254
Crystal system: tetragonal


No. 21
DFT (PBE) results for a relaxed structure of NaCaIn.

The structure in POSCAR format:
```
NaCaIn
1.0
-2.793 -2.822 1.058
2.309 -2.931 -1.722
2.755 2.129 4.974
Ca In Na
1 1 1
Direct
0.608 0.608 0.215
0.947 0.947 0.894
0.295 0.295 0.590
```

Results
Spin magnetization (μB/f.u.): 0.0
Formation enthalpy at 0 K (eV/atom): -0.183
Distance to the lowest polymorph of the same formula (eV per atom): 0.0000
DOS(E_F) (states/eV/cell): 1.424
Crystal system: tetragonal


No. 22
DFT (PBE) results for a relaxed structure of Ac2Ni3Ir.

The structure in POSCAR format:
```
Ac2Ni3Ir
1.0
-1.948 4.560 -3.351
4.102 -1.155 -4.202
-5.732 -6.136 0.450
Ni Ac Ir
6 4 2
Direct
0.836 0.328 0.164
0.165 0.165 0.329
0.835 0.835 0.671
0.164 0.672 0.836
0.672 0.164 0.836
0.328 0.836 0.164
0.250 0.750 0.500
0.750 0.750 0.000
0.750 0.250 0.500
0.250 0.250 0.000
0.334 0.334 0.668
0.666 0.666 0.332
```

Results
Spin magnetization (μB/f.u.): 0.0
Formation enthalpy at 0 K (eV/atom): -0.383
Distance to the lowest polymorph of the same formula (eV per atom): 0.0000
DOS(E_F) (states/eV/cell): 8.344
Crystal system: orthorhombic


No. 23
DFT (PBE) results for a relaxed structure of TlFe2Tc.

The structure in POSCAR format:
```
TlFe2Tc
1.0
5.116 -0.008 -0.005
2.159 4.639 0.005
-3.192 -3.015 2.627
Fe Tc Tl
2 1 1
Direct
0.986 0.986 0.000
0.514 0.514 0.000
0.750 0.250 0.500
0.250 0.750 0.500
```

Results
Spin magnetization (μB/f.u.): 6.2
Formation enthalpy at 0 K (eV/atom): 0.577
Distance to the lowest polymorph of the same formula (eV per atom): 0.1611
DOS(E_F) (states/eV/cell): 3.461
Crystal system: orthorhombic


No. 24
DFT (PBE) results for a relaxed structure of ZrSb2TeF.

The structure in POSCAR format:
```
ZrSb2TeF
1.0
-2.091 0.089 -4.129
2.889 -3.276 -1.534
-3.524 -3.904 1.701
Sb Te Zr F
2 1 1 1
Direct
0.500 0.000 0.000
0.000 0.500 0.000
0.000 0.000 0.500
0.500 0.500 0.500
0.000 0.000 0.000
```

Results
Spin magnetization (μB/f.u.): 0.0
Distance to the lowest polymorph of the same formula (eV per atom): 0.0000
DOS(E_F) (states/eV/cell): 4.028
Uncorrected formation energy (kJ/mol of formula units): -116
Crystal system: tetragonal